Ac5Pr4Y4 | GGA-PBE | optimized geometry

Theoretical density ... 6.9 g/cm3
Calculated volume ... 38.3 A^3/atom
VASP energy ... -0.36729 Ry per atom
E_form ... 0.0425 eV/atom
Total magnetization ... 0.000 μB per formula unit

a = 5.324 Å, b = 10.024 Å, c = 10.024 Å
α = 85.96°, β = 74.60°, γ = 74.60°
Positions (direct):
Pr  0.386  0.689  0.539
Pr  0.925  0.461  0.689
Pr  0.614  0.311  0.461
Pr  0.075  0.539  0.311
Ac  0.303  0.157  0.237
Ac  0.000  0.000  0.000
Ac  0.540  0.763  0.157
Ac  0.460  0.237  0.843
Ac  0.697  0.843  0.763
Y  0.156  0.078  0.609
Y  0.765  0.391  0.078
Y  0.844  0.922  0.391
Y  0.235  0.609  0.922

---

Ac12PrY7 | GGA-PBE | optimized geometry

Theoretical density ... 6.6 g/cm3
Calculated volume ... 44.0 A^3/atom
VASP energy ... -0.34210 Ry per atom
E_form ... 0.3120 eV/atom
Total magnetization ... 0.026 μB per formula unit

a = 7.136 Å, b = 12.171 Å, c = 12.171 Å
α = 63.72°, β = 78.73°, γ = 101.27°
Positions (direct):
Ac  0.161  0.895  0.576
Ac  0.734  0.471  0.105
Ac  0.266  0.529  0.895
Ac  0.178  0.642  0.180
Ac  0.822  0.358  0.820
Ac  0.535  0.178  0.642
Ac  0.643  0.820  0.822
Ac  0.357  0.180  0.178
Ac  0.263  0.424  0.471
Ac  0.839  0.105  0.424
Ac  0.737  0.576  0.529
Ac  0.465  0.822  0.358
Y  0.500  0.000  0.000
Y  0.119  0.815  0.886
Y  0.696  0.701  0.185
Y  0.995  0.114  0.701
Y  0.304  0.299  0.815
Y  0.005  0.886  0.299
Y  0.881  0.185  0.114
Pr  0.000  0.000  0.000

---

Ac2PrY3 | GGA-PBE | optimized geometry

Theoretical density ... 6.3 g/cm3
Calculated volume ... 38.0 A^3/atom
VASP energy ... -0.38631 Ry per atom
E_form ... 0.1420 eV/atom
Total magnetization ... 0.000 μB per formula unit

a = 7.518 Å, b = 9.140 Å, c = 7.479 Å
α = 101.81°, β = 90.00°, γ = 114.28°
Positions (direct):
Ac  0.678  0.362  0.090
Ac  0.322  0.638  0.910
Ac  0.315  0.638  0.410
Ac  0.685  0.362  0.590
Y  0.119  0.241  0.061
Y  0.714  0.000  0.750
Y  0.122  0.241  0.561
Y  0.878  0.759  0.439
Y  0.286  0.000  0.250
Y  0.881  0.759  0.939
Pr  0.281  0.000  0.750
Pr  0.719  0.000  0.250

---

Ac3PrY8 | GGA-PBE | optimized geometry

Theoretical density ... 5.5 g/cm3
Calculated volume ... 38.3 A^3/atom
VASP energy ... -0.40287 Ry per atom
E_form ... 0.2534 eV/atom
Total magnetization ... 0.000 μB per formula unit

a = 8.986 Å, b = 8.986 Å, c = 8.986 Å
α = 98.72°, β = 96.62°, γ = 137.15°
Positions (direct):
Y  0.175  0.751  0.926
Y  0.505  0.748  0.757
Y  0.175  0.249  0.424
Y  0.825  0.751  0.576
Y  0.495  0.252  0.243
Y  0.825  0.249  0.074
Y  0.009  0.252  0.757
Y  0.991  0.748  0.243
Ac  0.500  0.746  0.246
Ac  0.500  0.254  0.754
Ac  0.000  0.500  0.500
Pr  0.000  0.000  0.000

---

Ac7Pr3Y | GGA-PBE | optimized geometry

Theoretical density ... 7.3 g/cm3
Calculated volume ... 43.1 A^3/atom
VASP energy ... -0.31274 Ry per atom
E_form ... 0.2505 eV/atom
Total magnetization ... 0.010 μB per formula unit

a = 9.163 Å, b = 6.478 Å, c = 9.162 Å
α = 110.75°, β = 85.96°, γ = 110.75°
Positions (direct):
Pr  0.000  0.500  0.000
Pr  0.212  0.000  0.788
Pr  0.788  0.000  0.212
Ac  0.797  0.796  0.797
Ac  0.203  0.204  0.203
Ac  0.397  0.688  0.978
Ac  0.500  0.000  0.500
Ac  0.022  0.312  0.603
Ac  0.978  0.688  0.397
Ac  0.603  0.312  0.022
Y  0.500  0.500  0.500

---

AcPr2Y5 | GGA-PBE | optimized geometry

Theoretical density ... 5.8 g/cm3
Calculated volume ... 34.4 A^3/atom
VASP energy ... -0.42101 Ry per atom
E_form ... 0.0203 eV/atom
Total magnetization ... 0.000 μB per formula unit
Energy relative to the lowest polymorph listed for this composition ... 0.0 meV/atom

a = 7.348 Å, b = 7.291 Å, c = 20.538 Å
α = 90.00°, β = 90.00°, γ = 90.00°
Positions (direct):
Pr  0.746  0.000  0.500
Pr  0.746  0.500  0.000
Pr  0.500  0.754  0.126
Pr  0.500  0.746  0.626
Pr  0.254  0.500  0.000
Pr  0.254  0.000  0.500
Pr  0.500  0.254  0.374
Pr  0.500  0.246  0.874
Y  0.500  0.748  0.874
Y  0.254  0.000  0.000
Y  0.500  0.248  0.626
Y  0.500  0.252  0.126
Y  0.746  0.504  0.250
Y  0.746  0.996  0.750
Y  0.254  0.500  0.500
Y  0.746  0.496  0.750
Y  0.746  0.500  0.500
Y  0.000  0.247  0.626
Y  0.500  0.752  0.374
Y  0.000  0.753  0.374
Y  0.746  0.000  0.000
Y  0.254  0.496  0.750
Y  0.746  0.004  0.250
Y  0.000  0.253  0.126
Y  0.254  0.996  0.750
Y  0.254  0.504  0.250
Y  0.254  0.004  0.250
Y  0.000  0.747  0.874
Ac  0.000  0.246  0.874
Ac  0.000  0.754  0.126
Ac  0.000  0.746  0.626
Ac  0.000  0.254  0.374

---

Ac4Pr7Y | GGA-PBE | optimized geometry

Theoretical density ... 7.1 g/cm3
Calculated volume ... 38.9 A^3/atom
VASP energy ... -0.34291 Ry per atom
E_form ... 0.0306 eV/atom
Total magnetization ... 0.000 μB per formula unit

a = 7.629 Å, b = 6.626 Å, c = 12.168 Å
α = 79.49°, β = 51.30°, γ = 89.94°
Positions (direct):
Y  0.000  0.000  0.000
Pr  0.922  0.728  0.325
Pr  0.758  0.496  0.997
Pr  0.078  0.272  0.675
Pr  0.327  0.780  0.673
Pr  0.242  0.504  0.003
Pr  0.500  0.000  0.000
Pr  0.673  0.220  0.327
Ac  0.170  0.228  0.329
Ac  0.430  0.721  0.328
Ac  0.830  0.772  0.671
Ac  0.570  0.279  0.672

---

AcPr7Y3 | GGA-PBE | optimized geometry

Theoretical density ... 6.0 g/cm3
Calculated volume ... 37.1 A^3/atom
VASP energy ... -0.36531 Ry per atom
E_form ... 0.2076 eV/atom
Total magnetization ... 0.000 μB per formula unit
Energy relative to the lowest polymorph listed for this composition ... 16.0 meV/atom

a = 6.674 Å, b = 7.886 Å, c = 7.886 Å
α = 81.28°, β = 93.95°, γ = 93.95°
Positions (direct):
Pr  0.259  0.929  0.576
Pr  0.741  0.424  0.071
Pr  0.205  0.234  0.234
Pr  0.000  0.500  0.500
Pr  0.259  0.576  0.929
Pr  0.741  0.071  0.424
Pr  0.795  0.766  0.766
Ac  0.500  0.500  0.500
Y  0.000  0.169  0.831
Y  0.500  0.000  0.000
Y  0.000  0.831  0.169

---

Ac2PrY8 | GGA-PBE | optimized geometry

Theoretical density ... 5.6 g/cm3
Calculated volume ... 35.5 A^3/atom
VASP energy ... -0.41776 Ry per atom
E_form ... 0.1987 eV/atom
Total magnetization ... 0.000 μB per formula unit

a = 6.698 Å, b = 6.870 Å, c = 9.260 Å
α = 100.15°, β = 111.21°, γ = 90.00°
Positions (direct):
Ac  0.753  0.674  0.505
Ac  0.247  0.326  0.495
Y  0.411  0.086  0.821
Y  0.806  0.186  0.611
Y  0.822  0.401  0.164
Y  0.589  0.914  0.179
Y  0.658  0.599  0.836
Y  0.178  0.599  0.836
Y  0.342  0.401  0.164
Y  0.194  0.814  0.389
Pr  0.000  0.000  0.000

---

Ac11Pr4Y9 | GGA-PBE | optimized geometry

Theoretical density ... 6.9 g/cm3
Calculated volume ... 38.8 A^3/atom
VASP energy ... -0.36852 Ry per atom
E_form ... 0.0897 eV/atom
Total magnetization ... 0.002 μB per formula unit

a = 3.898 Å, b = 16.132 Å, c = 16.132 Å
α = 113.29°, β = 90.00°, γ = 90.00°
Positions (direct):
Ac  0.000  0.841  0.159
Ac  0.000  0.710  0.710
Ac  0.000  0.405  0.044
Ac  0.000  0.367  0.633
Ac  0.000  0.956  0.595
Ac  0.000  0.000  0.000
Ac  0.000  0.633  0.367
Ac  0.000  0.595  0.956
Ac  0.000  0.159  0.841
Ac  0.000  0.044  0.405
Ac  0.000  0.290  0.290
Pr  0.500  0.556  0.758
Pr  0.500  0.444  0.242
Pr  0.500  0.758  0.556
Pr  0.500  0.242  0.444
Y  0.500  0.787  0.933
Y  0.500  0.067  0.213
Y  0.500  0.367  0.833
Y  0.500  0.833  0.367
Y  0.500  0.213  0.067
Y  0.500  0.500  0.500
Y  0.500  0.933  0.787
Y  0.500  0.167  0.633
Y  0.500  0.633  0.167

---

Ac2Pr5Y6 | GGA-PBE | optimized geometry

Theoretical density ... 6.0 g/cm3
Calculated volume ... 36.1 A^3/atom
VASP energy ... -0.39358 Ry per atom
E_form ... 0.0988 eV/atom
Total magnetization ... 0.000 μB per formula unit

a = 3.697 Å, b = 12.121 Å, c = 20.924 Å
α = 90.00°, β = 90.00°, γ = 90.00°
Positions (direct):
Pr  0.500  0.095  0.216
Pr  0.500  0.905  0.784
Pr  0.500  0.595  0.284
Pr  0.500  0.405  0.716
Pr  0.500  0.797  0.052
Pr  0.500  0.203  0.948
Pr  0.500  0.703  0.552
Pr  0.500  0.297  0.448
Pr  0.500  0.000  0.500
Pr  0.500  0.500  0.000
Y  0.500  0.817  0.379
Y  0.000  0.940  0.925
Y  0.000  0.560  0.425
Y  0.000  0.440  0.575
Y  0.000  0.428  0.862
Y  0.500  0.317  0.121
Y  0.500  0.183  0.621
Y  0.000  0.060  0.075
Y  0.500  0.683  0.879
Y  0.000  0.928  0.638
Y  0.000  0.072  0.362
Y  0.000  0.572  0.138
Ac  0.000  0.336  0.278
Ac  0.000  0.836  0.222
Ac  0.000  0.664  0.722
Ac  0.000  0.164  0.778

---

AcPrY4 | GGA-PBE | optimized geometry

Theoretical density ... 5.8 g/cm3
Calculated volume ... 34.7 A^3/atom
VASP energy ... -0.42387 Ry per atom
E_form ... 0.0237 eV/atom
Total magnetization ... 0.000 μB per formula unit
Energy relative to the lowest polymorph listed for this composition ... 0.0 meV/atom

a = 6.360 Å, b = 6.360 Å, c = 12.436 Å
α = 75.35°, β = 75.35°, γ = 60.00°
Positions (direct):
Ac  0.500  0.000  0.500
Ac  0.000  0.500  0.000
Y  0.833  0.337  0.498
Y  0.251  0.421  0.250
Y  0.663  0.167  0.002
Y  0.167  0.663  0.502
Y  0.337  0.833  0.998
Y  0.421  0.251  0.750
Y  0.749  0.579  0.750
Y  0.579  0.749  0.250
Pr  0.078  0.922  0.750
Pr  0.922  0.078  0.250

---

AcPr2Y7 | GGA-PBE | optimized geometry

Theoretical density ... 4.6 g/cm3
Calculated volume ... 41.0 A^3/atom
VASP energy ... -0.38437 Ry per atom
E_form ... 0.6620 eV/atom
Total magnetization ... 0.000 μB per formula unit
Energy relative to the lowest polymorph listed for this composition ... 446.9 meV/atom

a = 5.664 Å, b = 9.318 Å, c = 9.318 Å
α = 123.60°, β = 90.00°, γ = 90.00°
Positions (direct):
Y  0.500  0.705  0.939
Y  0.000  0.776  0.224
Y  0.500  0.295  0.061
Y  0.500  0.500  0.500
Y  0.500  0.061  0.295
Y  0.000  0.224  0.776
Y  0.500  0.939  0.705
Pr  0.500  0.298  0.702
Pr  0.500  0.702  0.298
Ac  0.000  0.000  0.000

---

Ac7PrY2 | GGA-PBE | optimized geometry

Theoretical density ... 6.1 g/cm3
Calculated volume ... 51.6 A^3/atom
VASP energy ... -0.29540 Ry per atom
E_form ... 0.6275 eV/atom
Total magnetization ... 0.001 μB per formula unit

a = 6.142 Å, b = 9.702 Å, c = 9.702 Å
α = 63.10°, β = 90.00°, γ = 90.00°
Positions (direct):
Ac  0.500  0.308  0.939
Ac  0.500  0.939  0.308
Ac  0.000  0.759  0.759
Ac  0.000  0.241  0.241
Ac  0.500  0.061  0.692
Ac  0.500  0.692  0.061
Ac  0.500  0.500  0.500
Y  0.500  0.702  0.702
Y  0.500  0.298  0.298
Pr  0.000  0.000  0.000

---

Ac2PrY | GGA-PBE | optimized geometry

Theoretical density ... 7.2 g/cm3
Calculated volume ... 39.3 A^3/atom
VASP energy ... -0.35441 Ry per atom
E_form ... 0.0432 eV/atom
Total magnetization ... 0.000 μB per formula unit
Energy relative to the lowest polymorph listed for this composition ... 15.5 meV/atom

a = 3.844 Å, b = 3.844 Å, c = 12.477 Å
α = 81.14°, β = 81.14°, γ = 60.00°
Positions (direct):
Y  0.667  0.667  0.998
Ac  0.251  0.251  0.246
Ac  0.082  0.082  0.754
Pr  0.499  0.499  0.503

---

Ac2Pr7Y3 | GGA-PBE | optimized geometry

Theoretical density ... 6.4 g/cm3
Calculated volume ... 36.8 A^3/atom
VASP energy ... -0.36848 Ry per atom
E_form ... 0.0754 eV/atom
Total magnetization ... 0.000 μB per formula unit

a = 3.680 Å, b = 6.600 Å, c = 18.780 Å
α = 104.53°, β = 90.00°, γ = 90.00°
Positions (direct):
Pr  0.500  0.065  0.834
Pr  0.000  0.440  0.161
Pr  0.000  0.000  0.000
Pr  0.500  0.236  0.497
Pr  0.500  0.935  0.166
Pr  0.000  0.560  0.839
Pr  0.500  0.764  0.503
Ac  0.500  0.613  0.672
Ac  0.500  0.387  0.328
Y  0.500  0.500  0.000
Y  0.000  0.888  0.340
Y  0.000  0.112  0.660

---

Ac12Pr7Y | GGA-PBE | optimized geometry

Theoretical density ... 7.4 g/cm3
Calculated volume ... 42.6 A^3/atom
VASP energy ... -0.31467 Ry per atom
E_form ... 0.1798 eV/atom
Total magnetization ... 0.000 μB per formula unit
Energy relative to the lowest polymorph listed for this composition ... 0.0 meV/atom

a = 12.293 Å, b = 12.293 Å, c = 12.293 Å
α = 116.75°, β = 116.75°, γ = 116.75°
Positions (direct):
Y  0.000  0.000  0.000
Pr  0.644  0.889  0.889
Pr  0.111  0.356  0.111
Pr  0.356  0.111  0.111
Pr  0.111  0.111  0.356
Pr  0.889  0.644  0.889
Pr  0.889  0.889  0.644
Pr  0.500  0.500  0.500
Ac  0.500  0.912  0.088
Ac  0.912  0.500  0.088
Ac  0.571  0.917  0.571
Ac  0.917  0.571  0.571
Ac  0.083  0.429  0.429
Ac  0.429  0.083  0.429
Ac  0.912  0.088  0.500
Ac  0.429  0.429  0.083
Ac  0.088  0.912  0.500
Ac  0.571  0.571  0.917
Ac  0.088  0.500  0.912
Ac  0.500  0.088  0.912

---

Ac4Pr2Y5 | GGA-PBE | optimized geometry

Theoretical density ... 6.6 g/cm3
Calculated volume ... 37.4 A^3/atom
VASP energy ... -0.38314 Ry per atom
E_form ... 0.0883 eV/atom
Total magnetization ... 0.000 μB per formula unit

a = 6.056 Å, b = 6.777 Å, c = 10.490 Å
α = 93.40°, β = 106.78°, γ = 90.00°
Positions (direct):
Y  0.140  0.788  0.280
Y  0.500  0.000  0.000
Y  0.860  0.212  0.720
Y  0.756  0.630  0.512
Y  0.244  0.370  0.488
Ac  0.946  0.732  0.892
Ac  0.054  0.268  0.108
Ac  0.321  0.898  0.641
Ac  0.679  0.102  0.359
Pr  0.584  0.581  0.169
Pr  0.416  0.419  0.831